Entry 1:
Entry from Alexandria via LeMat-Bulk: a geometry-optimized MnCu2Ni structure (PBE).

The structure in POSCAR format:
```
MnCu2Ni
1.0
1.3656 -2.0698 0.0000
1.3656 2.0698 0.0000
0.0000 0.0000 8.3920
Mn Cu Ni
1 2 1
Direct
0.0000 0.0000 0.0000
0.5000 0.5000 0.2549
0.5000 0.5000 0.7451
0.0000 0.0000 0.5000
```

***

Entry 2:
Entry from Alexandria via LeMat-Bulk: a geometry-optimized MnCuNi structure (PBE).

Calculated values
Energy relative to the lowest polymorph listed for this composition in meV per atom: 0.0

The structure in POSCAR format:
```
MnCuNi
1.0
-1.3474 1.7173 3.9221
1.3474 -1.7173 3.9221
1.3474 1.7173 -3.9221
Mn Cu Ni
1 1 1
Direct
0.0000 0.0000 0.0000
0.3275 0.3275 0.0000
0.6614 0.6614 0.0000
```

***

no.,E_form (eV per formula unit),DFT total energy (eV per atom)
1,0.70,-5.6107
2,0.04,-6.3356